# BaCaV2O7 | the Alexandria database | PBE with a Hubbard U | optimized geometry
data_BaCaV2O7
_chemical_formula_sum 'Ba4 Ca4 V8 O28'
_cell_length_a 15.692
_cell_length_b 5.868
_cell_length_c 7.615
_cell_angle_alpha 90.00
_cell_angle_beta 90.00
_cell_angle_gamma 90.00
_space_group_name_H-M_alt 'P n m a'
_space_group_IT_number 62
loop_
_space_group_symop_operation_xyz
'x,y,z'
'-x,-y,-z'
'-x+1/2,-y,z+1/2'
'x+1/2,y,-z+1/2'
'x+1/2,-y+1/2,-z+1/2'
'-x+1/2,y+1/2,z+1/2'
'-x,y+1/2,-z'
'x,-y+1/2,z'
loop_
_atom_site_label
_atom_site_type_symbol
_atom_site_fract_x
_atom_site_fract_y
_atom_site_fract_z
_atom_site_occupancy
Ba1 Ba 0.215 0.250 0.137 1
Ca1 Ca 0.053 0.750 0.887 1
V1 V 0.061 0.750 0.300 1
V2 V 0.142 0.250 0.661 1
O1 O 0.034 0.250 0.563 1
O2 O 0.060 0.519 0.156 1
O3 O 0.151 0.750 0.418 1
O4 O 0.153 0.014 0.795 1
O5 O 0.221 0.250 0.511 1
# DFT total energy   -7.336 eV/atom
# DOS at the Fermi energy   0.00 states/eV/f.u.